Rb2InCoO4: optimized geometry, PBE+U.

Calculated values
E_tot	-77.70	eV/cell

a = 12.3698 Å, b = 10.9961 Å, c = 6.8506 Å
α = 84.35°, β = 62.21°, γ = 33.44°
With the nearest neighbours (Å) after each atom.
Fractional coordinates of all 16 atoms:
Rb 0.0568 0.0568 0.6932  4 O 3.07-3.31
Rb 0.3068 0.3068 0.9432  4 O 3.07-3.31
Rb 0.6932 0.6932 0.0568  4 O 3.07-3.31
Rb 0.9432 0.9432 0.3068  4 O 3.07-3.31
In 0.1250 0.1250 0.1250  4 O 2.09
In 0.8750 0.8750 0.8750  4 O 2.09
Co 0.3750 0.3750 0.3750  4 O 1.90
Co 0.6250 0.6250 0.6250  4 O 1.90
O 0.0171 0.6502 0.5491  1 Co 1.90, 1 In 2.09
O 0.2837 0.5491 0.6502  1 Co 1.90, 1 In 2.09
O 0.3498 0.9829 0.7163  1 Co 1.90, 1 In 2.09
O 0.4509 0.7163 0.9829  1 Co 1.90, 1 In 2.09
O 0.5491 0.2837 0.0171  1 Co 1.90, 1 In 2.09
O 0.6502 0.0171 0.2837  1 Co 1.90, 1 In 2.09
O 0.7163 0.4509 0.3498  1 Co 1.90, 1 In 2.09
O 0.9829 0.3498 0.4509  1 Co 1.90, 1 In 2.09